# 1
The following is a PBE-GGA calculation of Ce3Tm2In2 after structural relaxation, from the Alexandria database.

Lattice parameters (Å, degrees): 4.744 5.892 7.685 95.33 90.00 113.74
Each line ends with the local moment (μB).
Fractional coordinates of all 7 atoms:
Ce: 0.500 0.000 0.000  0.80
Ce: 0.617 0.233 0.432  0.73
Ce: 0.383 0.767 0.568  0.73
Tm: 0.782 0.563 0.851  0.17
Tm: 0.218 0.437 0.149  0.17
In: 0.912 0.824 0.271  -0.01
In: 0.088 0.176 0.729  -0.01

For the energy of formation, the calculation gives -0.175 eV/atom. The value obtained for the size of the total moment is 3.199 Bohr magnetons per cell. Its density of states at the Fermi level is 2.520 states/eV/atom. The calculated total energy comes out at -4.778 eV/atom. Its crystal system is monoclinic.


# 2
The following is a PBE-GGA calculation of Sm2NpAgO8 after structural relaxation, from the Alexandria database.

Lattice parameters (Å, degrees): 4.181 5.372 7.650 98.07 87.25 97.70
Fractional coordinates of all 12 atoms:
Sm: 0.521 0.457 0.736
Sm: 0.479 0.543 0.264
Np: 0.000 0.000 0.000
Ag: 0.000 0.000 0.500
O: 0.041 0.801 0.249
O: 0.580 0.779 0.014
O: 0.925 0.274 0.181
O: 0.959 0.199 0.751
O: 0.420 0.221 0.986
O: 0.075 0.726 0.819
O: 0.622 0.738 0.536
O: 0.378 0.262 0.464

The value obtained for the size of the total moment is 0.000 Bohr magnetons per cell. For the energy relative to the elements, uncorrected, the calculation gives -2.375 eV per atom. The calculated total energy comes out at -7.783 eV/atom. Its crystal system is triclinic.


# 3
The following is a PBE-GGA calculation of AlReSe2 after structural relaxation, from the Alexandria database.

Lattice parameters (Å, degrees): 3.290 5.120 4.099 90.00 90.00 90.00
Fractional coordinates of all 4 atoms:
Re: 0.000 0.500 0.500
Al: 0.500 0.000 0.500
Se: 0.000 0.000 0.000
Se: 0.500 0.500 0.000

The value obtained for the size of the total moment is 0.000 Bohr magnetons per cell. Its density of states at the Fermi level is 1.038 states/eV/atom. For the energy relative to the elements, uncorrected, the calculation gives 0.650 eV per atom. The calculated total energy comes out at -5.140 eV/atom. Its crystal system is orthorhombic.


# 4
The following is a PBE-GGA calculation of GdEr2Ag after structural relaxation, from the Alexandria database.

Lattice parameters (Å, degrees): 3.526 3.526 10.648 80.47 80.47 60.00
Each line ends with the local moment (μB).
Fractional coordinates of all 4 atoms:
Gd: 0.500 0.500 0.500  7.16
Ag: 0.000 0.000 0.000  -0.01
Er: 0.259 0.259 0.223  -0.03
Er: 0.741 0.741 0.777  -0.03

The energy above the most stable polymorph in this dataset is 11.19 kJ/mol of atoms. For the energy of formation, the calculation gives -0.012 eV/atom. The value obtained for the size of the total moment is 7.295 Bohr magnetons per cell. Its density of states at the Fermi level is 1.289 states/eV/atom. The calculated total energy comes out at -6.526 eV/atom. Its crystal system is trigonal.


# 5
The following is a PBE-GGA calculation of Sn2Pd5Pt2 after structural relaxation, from the Alexandria database.

Lattice parameters (Å, degrees): 4.568 7.962 9.477 114.84 103.95 90.00
Fractional coordinates of all 18 atoms:
Sn: 0.000 0.871 0.000
Sn: 0.500 0.371 0.000
Sn: 0.250 0.454 0.500
Sn: 0.750 0.954 0.500
Pd: 0.412 0.617 0.825
Pd: 0.588 0.792 0.175
Pd: 0.913 0.117 0.825
Pd: 0.087 0.292 0.175
Pd: 0.163 0.033 0.326
Pd: 0.837 0.707 0.674
Pd: 0.663 0.533 0.326
Pd: 0.337 0.207 0.674
Pd: 0.250 0.787 0.500
Pd: 0.750 0.287 0.500
Pt: 0.085 0.622 0.169
Pt: 0.915 0.453 0.831
Pt: 0.584 0.122 0.169
Pt: 0.416 0.953 0.831

For the energy of formation, the calculation gives -0.320 eV/atom. The value obtained for the size of the total moment is 0.000 Bohr magnetons per cell. Its density of states at the Fermi level is 0.627 states/eV/atom. The calculated total energy comes out at -5.437 eV/atom. Its crystal system is orthorhombic.


| no. | volume (Å³/atom) |
| --- | --- |
| 1 | 27.94 |
| 2 | 14.04 |
| 3 | 17.26 |
| 4 | 28.14 |
| 5 | 16.75 |